The following is a PBE-GGA calculation of a relaxed structure of Ti2AlVN, from Alexandria.

Cell and atoms, written as POSCAR:
```
Ti2AlVN
1.0
4.196 0.000 0.000
0.000 4.196 0.000
0.000 0.000 3.841
V N Ti Al
1 1 2 1
Direct
0.000 0.000 0.500
0.000 0.000 0.000
0.000 0.500 0.000
0.500 0.000 0.000
0.500 0.500 0.500
```

Properties
- Raw formation energy: -400 kJ/mol of formula units
- ρ: 4.61 Mg/m³
- Polymorph energy (0 for the lowest one): 0 meV/atom
- Total magnetization: 0.09 μB/f.u.